Material: NbMo2WF
Method: DFT, PBE+U
State: optimized geometry

a = 5.1357 Å, b = 5.1357 Å, c = 5.2477 Å
α = 90.00°, β = 90.00°, γ = 90.00°
Last column: nearest neighbours and their distance in Å.
Positions (direct):
Mo  0.0000  0.5000  0.0000  2 Nb 2.57
Mo  0.5000  0.0000  0.0000  2 Nb 2.57
Nb  0.0000  0.0000  0.0000  4 Mo 2.57, 2 W 2.62
W  0.0000  0.0000  0.5000  2 Nb 2.62
F  0.5000  0.5000  0.5000  4 W 3.63, 8 Mo 3.67

## Properties
crystal system: tetragonal
total magnetization: 9.7 μB/cell
space group: No. 123
calculated total energy: -4.75 eV/atom